Entry 1:
# LaBiN2 | Alexandria | PBE | relaxed
data_LaBiN2
_space_group_name_H-M_alt 'R -3 m'
_space_group_IT_number 166
_space_group_name_Hall '-R 3 2"'
_cell_length_a 3.8193
_cell_length_b 3.8193
_cell_length_c 20.5684
_cell_angle_alpha 90.00
_cell_angle_beta 90.00
_cell_angle_gamma 120.00
loop_
_atom_site_label
_atom_site_type_symbol
_atom_site_fract_x
_atom_site_fract_y
_atom_site_fract_z
_atom_site_occupancy
La1 La 0.0000 0.0000 0.0000 1
Bi1 Bi 0.0000 0.0000 0.5000 1
N1 N 0.0000 0.0000 0.3930 1
# - total moment (μB per atom) = 0.000
# - formation energy from raw total energies (eV per formula unit) = -0.269


Entry 2:
# YErTmTh | Alexandria | PBE | relaxed
data_YErTmTh
_space_group_name_H-M_alt 'R 3 m'
_space_group_IT_number 160
_space_group_name_Hall 'R 3 -2"'
_cell_length_a 3.5737
_cell_length_b 3.5737
_cell_length_c 34.0480
_cell_angle_alpha 90.00
_cell_angle_beta 90.00
_cell_angle_gamma 120.00
loop_
_atom_site_label
_atom_site_type_symbol
_atom_site_fract_x
_atom_site_fract_y
_atom_site_fract_z
_atom_site_occupancy
Y1 Y 0.0000 0.0000 0.0000 1
Er1 Er 0.0000 0.0000 0.1675 1
Tm1 Tm 0.0000 0.0000 0.4182 1
Th1 Th 0.0000 0.0000 0.5825 1
# - relative energy among the computed polymorphs (eV/atom) = 0.000
# - total moment (μB per atom) = 0.110


Entry 3:
# Er6Zn23Ge | Alexandria | PBE | relaxed
data_Er6Zn23Ge
_space_group_name_H-M_alt 'F m -3 m'
_space_group_IT_number 225
_space_group_name_Hall '-F 4 2 3'
_cell_length_a 12.756
_cell_length_b 12.756
_cell_length_c 12.756
_cell_angle_alpha 90.00
_cell_angle_beta 90.00
_cell_angle_gamma 90.00
loop_
_atom_site_label
_atom_site_type_symbol
_atom_site_fract_x
_atom_site_fract_y
_atom_site_fract_z
_atom_site_occupancy
Er1 Er 0.000 0.000 0.217 1
Zn1 Zn 0.000 0.000 0.500 1
Zn2 Zn 0.000 0.250 0.250 1
Zn3 Zn 0.126 0.126 0.374 1
Zn4 Zn 0.168 0.168 0.168 1
Ge1 Ge 0.000 0.000 0.000 1
# - total moment (μB per atom) = 0.000
# - energy (eV for the cell shown) = -285.17


Entry 4:
# SnH2Cl8 | Alexandria | PBE | relaxed
data_SnH2Cl8
_space_group_name_H-M_alt 'C 1 2/m 1'
_space_group_IT_number 12
_space_group_name_Hall '-C 2y'
_cell_length_a 15.014
_cell_length_b 8.490
_cell_length_c 5.420
_cell_angle_alpha 90.00
_cell_angle_beta 98.91
_cell_angle_gamma 90.00
loop_
_atom_site_label
_atom_site_type_symbol
_atom_site_fract_x
_atom_site_fract_y
_atom_site_fract_z
_atom_site_occupancy
Sn1 Sn 0.000 0.000 0.000 1
H1 H 0.239 0.500 0.068 1
Cl1 Cl 0.050 0.213 0.725 1
Cl2 Cl 0.151 0.000 0.216 1
Cl3 Cl 0.170 0.500 0.184 1
# - relative energy among the computed polymorphs (eV/atom) = 0.000
# - total moment (μB per atom) = 0.178


Entry 5:
# KSrPd10 | Alexandria | PBE | relaxed
data_KSrPd10
_space_group_name_H-M_alt 'P m m m'
_space_group_IT_number 47
_space_group_name_Hall '-P 2 2'
_cell_length_a 4.421
_cell_length_b 5.490
_cell_length_c 9.477
_cell_angle_alpha 90.00
_cell_angle_beta 90.00
_cell_angle_gamma 90.00
loop_
_atom_site_label
_atom_site_type_symbol
_atom_site_fract_x
_atom_site_fract_y
_atom_site_fract_z
_atom_site_occupancy
K1 K 0.000 0.000 0.000 1
Sr1 Sr 0.000 0.500 0.500 1
Pd1 Pd 0.000 0.000 0.334 1
Pd2 Pd 0.000 0.500 0.168 1
Pd3 Pd 0.500 0.000 0.500 1
Pd4 Pd 0.500 0.252 0.253 1
Pd5 Pd 0.500 0.500 0.000 1
# - total moment (μB per atom) = 0.000
# - energy (eV for the cell shown) = -56.54


Entry 6:
# PrCoPN | Alexandria | PBE | relaxed
data_PrCoPN
_space_group_name_H-M_alt 'P 4/n m m'
_space_group_IT_number 129
_cell_length_a 3.767
_cell_length_b 3.767
_cell_length_c 8.039
_cell_angle_alpha 90.00
_cell_angle_beta 90.00
_cell_angle_gamma 90.00
loop_
_space_group_symop_operation_xyz
'x,y,z'
'-x,-y,-z'
'-y+1/2,x,z'
'y+1/2,-x,-z'
'-x+1/2,-y+1/2,z'
'x+1/2,y+1/2,-z'
'y,-x+1/2,z'
'-y,x+1/2,-z'
'x+1/2,-y,-z'
'-x+1/2,y,z'
'-y,-x,-z'
'y,x,z'
'-x,y+1/2,-z'
'x,-y+1/2,z'
'y+1/2,x+1/2,-z'
'-y+1/2,-x+1/2,z'
loop_
_atom_site_label
_atom_site_type_symbol
_atom_site_fract_x
_atom_site_fract_y
_atom_site_fract_z
_atom_site_occupancy
Pr1 Pr 0.250 0.250 0.170 1
Co1 Co 0.250 0.750 0.500 1
P1 P 0.250 0.250 0.647 1
N1 N 0.250 0.250 0.860 1
# - total moment (μB per atom) = 0.083
# - formation energy from raw total energies (eV per formula unit) = -4.535


Entry 7:
# La4HgRuI2 | Alexandria | PBE | relaxed
data_La4HgRuI2
_space_group_name_H-M_alt 'P 1 2/m 1'
_space_group_IT_number 10
_space_group_name_Hall '-P 2y'
_cell_length_a 7.810
_cell_length_b 4.270
_cell_length_c 8.641
_cell_angle_alpha 90.00
_cell_angle_beta 106.66
_cell_angle_gamma 90.00
loop_
_atom_site_label
_atom_site_type_symbol
_atom_site_fract_x
_atom_site_fract_y
_atom_site_fract_z
_atom_site_occupancy
La1 La 0.216 0.000 0.190 1
La2 La 0.221 0.500 0.803 1
Hg1 Hg 0.500 0.000 0.000 1
Ru1 Ru 0.000 0.500 0.000 1
I1 I 0.000 0.000 0.500 1
I2 I 0.500 0.500 0.500 1
# - total moment (μB per atom) = 0.000
# - formation energy from raw total energies (eV per formula unit) = -6.245


Entry 8:
# YSc2Ge | Alexandria | PBE | relaxed
data_YSc2Ge
_space_group_name_H-M_alt 'I -4 2 d'
_space_group_IT_number 122
_space_group_name_Hall 'I -4 2bw'
_cell_length_a 8.272
_cell_length_b 8.272
_cell_length_c 5.996
_cell_angle_alpha 90.00
_cell_angle_beta 90.00
_cell_angle_gamma 90.00
loop_
_atom_site_label
_atom_site_type_symbol
_atom_site_fract_x
_atom_site_fract_y
_atom_site_fract_z
_atom_site_occupancy
Y1 Y 0.000 0.000 0.000 1
Sc1 Sc 0.191 0.250 0.625 1
Ge1 Ge 0.000 0.000 0.500 1
# - total moment (μB per atom) = 0.237
# - energy (eV for the cell shown) = -96.64


Entry 9:
# Ti2V2Pt | Alexandria | PBE | relaxed
data_Ti2V2Pt
_space_group_name_H-M_alt 'C 1 2/c 1'
_space_group_IT_number 15
_space_group_name_Hall '-C 2yc'
_cell_length_a 7.068
_cell_length_b 6.606
_cell_length_c 7.158
_cell_angle_alpha 90.00
_cell_angle_beta 112.35
_cell_angle_gamma 90.00
loop_
_atom_site_label
_atom_site_type_symbol
_atom_site_fract_x
_atom_site_fract_y
_atom_site_fract_z
_atom_site_occupancy
Ti1 Ti 0.120 0.178 0.138 1
V1 V 0.153 0.438 0.451 1
Pt1 Pt 0.000 0.183 0.750 1
# - relative energy among the computed polymorphs (eV/atom) = 0.000
# - total moment (μB per atom) = 0.000


Entry 10:
# HfPaRePd | Alexandria | PBE | relaxed
data_HfPaRePd
_space_group_name_H-M_alt 'F -4 3 m'
_space_group_IT_number 216
_space_group_name_Hall 'F -4 2 3'
_cell_length_a 6.794
_cell_length_b 6.794
_cell_length_c 6.794
_cell_angle_alpha 90.00
_cell_angle_beta 90.00
_cell_angle_gamma 90.00
loop_
_atom_site_label
_atom_site_type_symbol
_atom_site_fract_x
_atom_site_fract_y
_atom_site_fract_z
_atom_site_occupancy
Hf1 Hf 0.000 0.000 0.000 1
Pa1 Pa 0.000 0.000 0.500 1
Re1 Re 0.250 0.250 0.750 1
Pd1 Pd 0.250 0.250 0.250 1
# - total moment (μB per atom) = 0.000
# - energy (eV for the cell shown) = -152.93


Entry 11:
# K2InTcH6 | Alexandria | PBE | relaxed
data_K2InTcH6
_space_group_name_H-M_alt 'C 1 m 1'
_space_group_IT_number 8
_space_group_name_Hall 'C -2y'
_cell_length_a 8.215
_cell_length_b 8.292
_cell_length_c 5.837
_cell_angle_alpha 90.00
_cell_angle_beta 134.24
_cell_angle_gamma 90.00
loop_
_atom_site_label
_atom_site_type_symbol
_atom_site_fract_x
_atom_site_fract_y
_atom_site_fract_z
_atom_site_occupancy
K1 K 0.000 0.249 0.000 1
In1 In 0.498 0.500 0.506 1
Tc1 Tc 0.000 0.500 0.467 1
H1 H 0.002 0.291 0.533 1
H2 H 0.181 0.500 0.881 1
H3 H 0.240 0.000 0.043 1
H4 H 0.271 0.500 0.597 1
H5 H 0.319 0.000 0.526 1
# - total moment (μB per atom) = 0.194
# - energy (eV for the cell shown) = -69.80


Entry 12:
# KSc2Pb | Alexandria | PBE | relaxed
data_KSc2Pb
_space_group_name_H-M_alt 'C 1 m 1'
_space_group_IT_number 8
_space_group_name_Hall 'C -2y'
_cell_length_a 10.360
_cell_length_b 3.390
_cell_length_c 7.570
_cell_angle_alpha 90.00
_cell_angle_beta 96.23
_cell_angle_gamma 90.00
loop_
_atom_site_label
_atom_site_type_symbol
_atom_site_fract_x
_atom_site_fract_y
_atom_site_fract_z
_atom_site_occupancy
K1 K 0.000 0.000 0.000 1
Sc1 Sc 0.225 0.000 0.651 1
Sc2 Sc 0.489 0.000 0.482 1
Pb1 Pb 0.248 0.500 0.308 1
# - total moment (μB per atom) = 0.280
# - energy (eV for the cell shown) = -33.47


Entry 13:
# K2TlIO | Alexandria | PBE | relaxed
data_K2TlIO
_space_group_name_H-M_alt 'P 4/m m m'
_space_group_IT_number 123
_space_group_name_Hall '-P 4 2'
_cell_length_a 5.504
_cell_length_b 5.504
_cell_length_c 5.195
_cell_angle_alpha 90.00
_cell_angle_beta 90.00
_cell_angle_gamma 90.00
loop_
_atom_site_label
_atom_site_type_symbol
_atom_site_fract_x
_atom_site_fract_y
_atom_site_fract_z
_atom_site_occupancy
K1 K 0.000 0.500 0.000 1
Tl1 Tl 0.000 0.000 0.500 1
I1 I 0.500 0.500 0.500 1
O1 O 0.000 0.000 0.000 1
# - relative energy among the computed polymorphs (eV/atom) = 0.000
# - total moment (μB per atom) = 0.000
# - formation energy from raw total energies (eV per formula unit) = -5.067


Entry 14:
# DyScGa2Ni5 | Alexandria | PBE | relaxed
data_DyScGa2Ni5
_space_group_name_H-M_alt 'P 4/m m m'
_space_group_IT_number 123
_space_group_name_Hall '-P 4 2'
_cell_length_a 3.892
_cell_length_b 3.892
_cell_length_c 8.871
_cell_angle_alpha 90.00
_cell_angle_beta 90.00
_cell_angle_gamma 90.00
loop_
_atom_site_label
_atom_site_type_symbol
_atom_site_fract_x
_atom_site_fract_y
_atom_site_fract_z
_atom_site_occupancy
Dy1 Dy 0.000 0.000 0.000 1
Sc1 Sc 0.000 0.000 0.500 1
Ga1 Ga 0.500 0.500 0.362 1
Ni1 Ni 0.000 0.500 0.217 1
Ni2 Ni 0.500 0.500 0.000 1
# - total moment (μB per atom) = 0.000
# - energy (eV for the cell shown) = -49.16


Entry 15:
# NpTeRuO6 | Alexandria | PBE | relaxed
data_NpTeRuO6
_space_group_name_H-M_alt 'P -3 1 c'
_space_group_IT_number 163
_space_group_name_Hall '-P 3 2c'
_cell_length_a 5.5587
_cell_length_b 5.5587
_cell_length_c 8.7374
_cell_angle_alpha 90.00
_cell_angle_beta 90.00
_cell_angle_gamma 120.00
loop_
_atom_site_label
_atom_site_type_symbol
_atom_site_fract_x
_atom_site_fract_y
_atom_site_fract_z
_atom_site_occupancy
Np1 Np 0.3333 0.6667 0.2500 1
Te1 Te 0.3333 0.6667 0.7500 1
Ru1 Ru 0.0000 0.0000 0.0000 1
O1 O 0.0146 0.3295 0.1240 1
# - total moment (μB per atom) = 0.106
# - formation energy from raw total energies (eV per formula unit) = -13.191


Entry 16:
# In2AgMo | Alexandria | PBE | relaxed
data_In2AgMo
_space_group_name_H-M_alt 'P 4 m m'
_space_group_IT_number 99
_space_group_name_Hall 'P 4 -2'
_cell_length_a 3.681
_cell_length_b 3.681
_cell_length_c 5.904
_cell_angle_alpha 90.00
_cell_angle_beta 90.00
_cell_angle_gamma 90.00
loop_
_atom_site_label
_atom_site_type_symbol
_atom_site_fract_x
_atom_site_fract_y
_atom_site_fract_z
_atom_site_occupancy
In1 In 0.000 0.000 0.000 1
In2 In 0.500 0.500 0.308 1
Ag1 Ag 0.500 0.500 0.775 1
Mo1 Mo 0.000 0.000 0.503 1
# - relative energy among the computed polymorphs (eV/atom) = 0.186
# - total moment (μB per atom) = 0.000


Entry 17:
# ZrAsPdC2 | Alexandria | PBE | relaxed
data_ZrAsPdC2
_space_group_name_H-M_alt 'P 4/m m m'
_space_group_IT_number 123
_space_group_name_Hall '-P 4 2'
_cell_length_a 3.953
_cell_length_b 3.953
_cell_length_c 5.227
_cell_angle_alpha 90.00
_cell_angle_beta 90.00
_cell_angle_gamma 90.00
loop_
_atom_site_label
_atom_site_type_symbol
_atom_site_fract_x
_atom_site_fract_y
_atom_site_fract_z
_atom_site_occupancy
Zr1 Zr 0.000 0.000 0.000 1
As1 As 0.000 0.000 0.500 1
Pd1 Pd 0.500 0.500 0.000 1
C1 C 0.000 0.500 0.500 1
# - relative energy among the computed polymorphs (eV/atom) = 0.088
# - total moment (μB per atom) = 0.000


Entry 18:
# SbRu2Pb | Alexandria | PBE | relaxed
data_SbRu2Pb
_space_group_name_H-M_alt 'C m m m'
_space_group_IT_number 65
_space_group_name_Hall '-C 2 2'
_cell_length_a 6.628
_cell_length_b 6.639
_cell_length_c 3.287
_cell_angle_alpha 90.00
_cell_angle_beta 90.00
_cell_angle_gamma 90.00
loop_
_atom_site_label
_atom_site_type_symbol
_atom_site_fract_x
_atom_site_fract_y
_atom_site_fract_z
_atom_site_occupancy
Sb1 Sb 0.000 0.000 0.000 1
Ru1 Ru 0.250 0.250 0.500 1
Pb1 Pb 0.000 0.500 0.000 1
# - total moment (μB per atom) = 0.138
# - formation energy from raw total energies (eV per formula unit) = 1.253


Entry 19:
# PrUCo3 | Alexandria | PBE | relaxed
data_PrUCo3
_space_group_name_H-M_alt 'C 1 m 1'
_space_group_IT_number 8
_space_group_name_Hall 'C -2y'
_cell_length_a 10.737
_cell_length_b 6.027
_cell_length_c 7.544
_cell_angle_alpha 90.00
_cell_angle_beta 132.26
_cell_angle_gamma 90.00
loop_
_atom_site_label
_atom_site_type_symbol
_atom_site_fract_x
_atom_site_fract_y
_atom_site_fract_z
_atom_site_occupancy
Pr1 Pr 0.000 0.000 0.000 1
Pr2 Pr 0.017 0.000 0.518 1
U1 U 0.119 0.500 0.396 1
U2 U 0.119 0.500 0.904 1
Co1 Co 0.280 0.210 0.507 1
Co2 Co 0.283 0.210 0.032 1
Co3 Co 0.394 0.000 0.872 1
Co4 Co 0.407 0.000 0.394 1
# - total moment (μB per atom) = 0.000
# - energy (eV for the cell shown) = -152.52


Entry 20:
# NdYSi4 | Alexandria | PBE | relaxed
data_NdYSi4
_space_group_name_H-M_alt 'P b a m'
_space_group_IT_number 55
_space_group_name_Hall '-P 2 2ab'
_cell_length_a 8.290
_cell_length_b 14.688
_cell_length_c 4.136
_cell_angle_alpha 90.00
_cell_angle_beta 90.00
_cell_angle_gamma 90.00
loop_
_atom_site_label
_atom_site_type_symbol
_atom_site_fract_x
_atom_site_fract_y
_atom_site_fract_z
_atom_site_occupancy
Nd1 Nd 0.115 0.137 0.000 1
Y1 Y 0.140 0.412 0.000 1
Si1 Si 0.027 0.293 0.500 1
Si2 Si 0.122 0.559 0.500 1
Si3 Si 0.126 0.964 0.500 1
Si4 Si 0.189 0.805 0.500 1
# - total moment (μB per atom) = 0.000
# - formation energy from raw total energies (eV per formula unit) = -2.712